Entry from Alexandria via LeMat-Bulk: a PBEsol-optimized structure of TaAsPO2 (meta-GGA SCAN).

## Properties
Formation energy from raw total energies   0.02 eV per atom
E   -109.5 eV/cell
ρ   7.9 g/cm3
Total magnetization   1.6 Bohr magnetons per cell

a = 3.7521 Å, b = 3.7521 Å, c = 4.7835 Å
α = 90.00°, β = 90.00°, γ = 90.00°
Space group P4/mmm (No. 123)
One atom of each set of equivalent atoms:
1 Ta 0.0000 0.0000 0.0000 [1 per cell]
2 As 0.5000 0.5000 0.5000 [1 per cell]
3 P 0.5000 0.5000 0.0000 [1 per cell]
4 O 0.0000 0.5000 0.5000 [2 per cell]